The following is a PBE calculation of a geometry-optimized Na2Bi2Pb structure, from the Alexandria database.

```
Na2Bi2Pb
1.0
-9.200 -0.083 -1.155
-0.567 -7.741 5.072
-0.380 1.919 2.886
Na Bi Pb
4 4 2
Cartesian
-4.025 -6.868 4.036
-1.294 -2.975 1.808
-8.474 -4.849 2.109
-5.743 -0.957 -0.120
-3.212 -0.482 2.004
-6.935 -5.423 4.799
-7.888 -1.564 2.108
-2.259 -4.341 4.695
0.000 0.000 0.000
-4.884 -3.912 1.958
```

Results
M_tot (μB/f.u.): 0.00
E above lowest polymorph (eV/atom): 0.071
Fermi-level density of states (states/eV per atom): 0.4039
Energy relative to the elements (eV per atom): -0.13
Mass density (Mg/m³): 7.4


The following is a PBE calculation of a geometry-optimized LiBeIn4 structure, from the Alexandria database.

```
LiBeIn4
1.0
0.000 4.270 4.270
4.270 0.000 4.270
4.270 4.270 0.000
In Li Be
4 1 1
Cartesian
3.202 5.337 5.337
5.337 5.337 3.202
3.202 3.202 3.202
5.337 3.202 5.337
6.405 6.405 6.405
0.000 0.000 0.000
```

Results
M_tot (μB/f.u.): 0.00
Fermi-level density of states (states/eV per atom): 0.4083
Energy relative to the elements (eV per atom): 0.46
Mass density (Mg/m³): 5.1


The following is a PBE calculation of a geometry-optimized Cs2TiSBr6 structure, from the Alexandria database.

```
Cs2TiSBr6
1.0
7.889 0.000 0.000
0.000 7.889 0.000
3.944 3.944 6.105
Br Cs Ti S
6 2 1 1
Cartesian
6.092 1.796 0.000
6.092 6.092 0.000
1.796 6.092 0.000
7.889 7.889 2.537
1.796 1.796 0.000
3.944 3.944 3.568
7.889 3.944 3.052
3.944 7.889 3.052
0.000 0.000 0.000
3.944 3.944 0.000
```

Results
Raw formation energy (kcal/mol of atoms): -24.41
M_tot (μB/f.u.): 2.00
Fermi-level density of states (states/eV per atom): 0.0000
Mass density (Mg/m³): 3.6


The following is a PBE calculation of a geometry-optimized LaAuS2 structure, from the Alexandria database.

```
LaAuS2
1.0
-2.519 -5.730 -3.943
8.525 2.278 -8.758
2.938 -2.765 2.141
Au S La
4 8 4
Cartesian
6.122 0.469 -7.187
1.720 -5.649 -4.175
4.831 -2.405 -9.127
3.010 -2.776 -2.236
1.376 -4.467 -2.178
3.219 -4.109 -9.115
6.465 -0.713 -9.185
5.722 -2.373 -5.437
4.623 -1.071 -2.247
2.119 -2.807 -5.926
0.629 -0.677 -1.129
7.212 -4.503 -10.233
3.559 -0.613 -5.069
9.369 -0.679 -8.255
4.282 -4.567 -6.294
-1.528 -4.501 -3.108
```

Results
Raw formation energy (kcal/mol of atoms): -29.73
M_tot (μB/f.u.): 0.00
E above lowest polymorph (eV/atom): 0.109
Fermi-level density of states (states/eV per atom): 0.0000
Mass density (Mg/m³): 6.3


The following is a PBE calculation of a geometry-optimized EuThHg structure, from the Alexandria database.

```
EuThHg
1.0
3.574 0.000 0.000
0.000 5.380 0.000
0.000 -2.690 4.659
Hg Eu Th
1 1 1
Cartesian
2.203 2.690 1.553
3.526 0.000 0.000
1.418 0.000 3.106
```

Results
M_tot (μB/f.u.): 7.09
E above lowest polymorph (eV/atom): 0.137
Fermi-level density of states (states/eV per atom): 1.0995
Energy relative to the elements (eV per atom): 0.01
Mass density (Mg/m³): 10.8


The following is a PBE calculation of a geometry-optimized AcGaSb structure, from the Alexandria database.

```
AcGaSb
1.0
-4.518 -0.016 -0.995
-0.458 -4.073 2.145
1.611 4.221 3.371
Ac Sb Ga
1 1 1
Cartesian
-2.706 -1.502 1.558
-0.452 1.122 2.034
-3.308 -0.008 4.267
```

Results
Raw formation energy (kcal/mol of atoms): -11.76
M_tot (μB/f.u.): 0.00
E above lowest polymorph (eV/atom): 0.135
Fermi-level density of states (states/eV per atom): 0.4802
Mass density (Mg/m³): 7.1


The following is a PBE calculation of a geometry-optimized AcTbTlAg structure, from the Alexandria database.

```
AcTbTlAg
1.0
-0.614 2.004 -3.184
-3.761 -0.239 0.574
0.218 6.861 4.276
Tl Ag Ac Tb
1 1 1 1
Cartesian
-2.158 1.811 -0.727
-2.063 4.798 1.135
0.184 5.812 3.622
0.082 2.573 1.603
```

Results
M_tot (μB/f.u.): 0.01
E above lowest polymorph (eV/atom): 0.000
Fermi-level density of states (states/eV per atom): 0.9573
Energy relative to the elements (eV per atom): -0.31
Mass density (Mg/m³): 9.9


The following is a PBE calculation of a geometry-optimized Al7Ru structure, from the Alexandria database.

```
Al7Ru
1.0
0.000 3.940 3.940
3.940 0.000 3.940
3.940 3.940 0.000
Al Ru
7 1
Cartesian
1.970 3.940 1.970
1.970 0.000 1.970
1.970 1.970 0.000
0.000 1.970 1.970
3.940 3.940 3.940
3.940 1.970 1.970
1.970 1.970 3.940
0.000 0.000 0.000
```

Results
M_tot (μB/f.u.): 0.00
Fermi-level density of states (states/eV per atom): 0.4887
Energy relative to the elements (eV per atom): -0.17
Mass density (Mg/m³): 3.9


The following is a PBE calculation of a geometry-optimized NaInCu structure, from the Alexandria database.

```
NaInCu
1.0
3.359 0.000 0.000
0.000 4.710 0.000
0.000 -2.355 4.079
Na In Cu
1 1 1
Cartesian
2.242 0.000 2.719
0.562 0.000 0.000
0.555 2.355 1.360
```

Results
M_tot (μB/f.u.): 0.00
Fermi-level density of states (states/eV per atom): 0.2745
Energy relative to the elements (eV per atom): 0.08
Mass density (Mg/m³): 5.2


The following is a PBE calculation of a geometry-optimized ScMo structure, from the Alexandria database.

```
ScMo
1.0
-10.099 2.395 -0.210
-0.264 -0.370 8.437
1.705 7.222 0.370
Mo Sc
16 16
Cartesian
-3.609 7.298 0.207
-7.611 2.202 6.205
-4.785 2.320 -0.048
-2.429 1.190 2.092
-1.708 4.616 6.496
1.118 4.733 0.243
-1.179 6.860 6.611
0.588 2.489 0.128
0.133 0.937 4.276
-7.081 4.446 6.320
-6.096 8.243 2.287
-4.594 3.502 4.241
-4.064 5.746 4.356
1.309 5.915 4.531
-1.899 3.434 2.207
-6.626 5.999 2.172
-4.411 4.508 6.934
0.770 3.495 2.821
-0.049 -0.069 1.583
0.671 3.357 5.987
-0.214 -0.301 6.855
-7.165 3.579 0.461
-2.247 2.196 4.785
-6.543 6.866 8.031
-1.262 5.992 0.752
-6.444 7.005 4.865
-7.263 3.440 3.627
-1.361 5.854 3.917
-2.346 2.057 7.951
-4.246 4.739 1.663
-5.132 1.082 2.531
-5.231 0.943 5.696
```

Results
M_tot (μB/f.u.): 0.00
E above lowest polymorph (eV/atom): 0.659
Fermi-level density of states (states/eV per atom): 1.4486
Energy relative to the elements (eV per atom): 0.64
Mass density (Mg/m³): 5.7


The following is a PBE calculation of a geometry-optimized BaLa2Se structure, from the Alexandria database.

```
BaLa2Se
1.0
-8.950 3.844 1.113
-3.925 -7.905 -4.267
-6.701 -3.503 1.392
Se La Ba
2 4 2
Cartesian
-8.532 -6.720 -2.226
-6.438 -2.031 -1.577
-15.915 -5.423 -1.307
-10.230 -4.908 -0.548
-6.105 -4.968 -2.073
-6.902 0.170 0.403
0.000 0.000 0.000
-11.044 -0.845 0.464
```

Results
Raw formation energy (kcal/mol of atoms): -14.25
M_tot (μB/f.u.): 1.13
Fermi-level density of states (states/eV per atom): 0.8750
Mass density (Mg/m³): 5.1


The following is a PBE calculation of a geometry-optimized TlRe2Cl structure, from the Alexandria database.

```
TlRe2Cl
1.0
7.298 0.012 0.000
5.418 4.890 0.000
-6.358 -2.451 2.614
Re Tl Cl
2 1 1
Cartesian
6.358 2.451 0.000
0.000 0.000 0.000
2.709 2.445 1.307
3.649 0.006 1.307
```

Results
Raw formation energy (kcal/mol of atoms): 32.91
M_tot (μB/f.u.): 0.91
E above lowest polymorph (eV/atom): 1.208
Fermi-level density of states (states/eV per atom): 1.1144
Mass density (Mg/m³): 10.9


The following is a PBE calculation of a geometry-optimized CaScB structure, from the Alexandria database.

```
CaScB
1.0
0.000 3.137 3.137
3.137 0.000 3.137
3.137 3.137 0.000
Ca B Sc
1 1 1
Cartesian
4.705 4.705 4.705
0.000 0.000 0.000
1.568 1.568 1.568
```

Results
M_tot (μB/f.u.): 0.00
E above lowest polymorph (eV/atom): 0.487
Fermi-level density of states (states/eV per atom): 0.0847
Energy relative to the elements (eV per atom): 0.25
Mass density (Mg/m³): 2.6


The following is a PBE calculation of a geometry-optimized NaVS2 structure, from the Alexandria database.

```
NaVS2
1.0
-3.145 -1.504 0.750
-0.647 -3.366 -0.986
1.161 -3.794 5.740
S V Na
2 1 1
Cartesian
-0.778 -2.058 1.088
0.670 -3.355 4.562
-1.371 -7.037 5.573
-1.306 -4.340 2.774
```

Results
Raw formation energy (kcal/mol of atoms): -23.07
M_tot (μB/f.u.): 2.00
Fermi-level density of states (states/eV per atom): 1.2087
Mass density (Mg/m³): 3.1


The following is a PBE calculation of a geometry-optimized SiPbS2 structure, from the Alexandria database.

```
SiPbS2
1.0
1.980 0.000 8.601
-0.990 1.714 8.601
-0.990 -1.714 8.601
S Pb Si
2 1 1
Cartesian
0.000 0.000 2.999
0.000 0.000 22.803
0.000 0.000 0.000
0.000 0.000 12.901
```

Results
Raw formation energy (kcal/mol of atoms): -7.81
M_tot (μB/f.u.): 0.00
E above lowest polymorph (eV/atom): 0.000
Fermi-level density of states (states/eV per atom): 0.3542
Mass density (Mg/m³): 5.7


The following is a PBE calculation of a geometry-optimized YMg2CdC structure, from the Alexandria database.

```
YMg2CdC
1.0
-1.953 0.024 4.076
-0.427 -4.496 -0.178
4.408 -0.502 2.116
Y Mg Cd C
1 2 1 1
Cartesian
2.204 -0.251 1.058
-0.977 0.012 2.038
-0.213 -2.248 -0.089
1.014 -2.487 3.006
0.000 0.000 0.000
```

Results
M_tot (μB/f.u.): 0.00
Fermi-level density of states (states/eV per atom): 0.8286
Energy relative to the elements (eV per atom): -0.04
Mass density (Mg/m³): 4.3


The following is a PBE calculation of a geometry-optimized NaY2Hg structure, from the Alexandria database.

```
NaY2Hg
1.0
-3.033 -1.624 0.989
-0.481 -0.970 3.412
-6.030 9.600 3.757
Hg Y Na
1 2 1
Cartesian
-4.772 3.503 4.079
-4.583 6.483 3.075
-4.960 0.522 5.083
0.000 0.000 0.000
```

Results
M_tot (μB/f.u.): 0.00
Fermi-level density of states (states/eV per atom): 1.2577
Energy relative to the elements (eV per atom): 0.03
Mass density (Mg/m³): 5.1


The following is a PBE calculation of a geometry-optimized SrPtW2 structure, from the Alexandria database.

```
SrPtW2
1.0
-1.856 1.709 -4.724
-2.565 -1.165 0.586
-1.753 4.206 2.211
W Pt Sr
2 1 1
Cartesian
-1.862 1.614 1.316
-0.297 -0.094 0.083
-2.007 1.615 -1.663
-4.166 3.135 -0.264
```

Results
M_tot (μB/f.u.): 0.00
E above lowest polymorph (eV/atom): 0.381
Fermi-level density of states (states/eV per atom): 0.8286
Energy relative to the elements (eV per atom): 0.71
Mass density (Mg/m³): 13.9


The following is a PBE calculation of a geometry-optimized BeTcPb3 structure, from the Alexandria database.

```
BeTcPb3
1.0
5.326 0.000 0.000
0.000 5.326 0.000
0.000 0.000 5.326
Tc Pb Be
1 3 1
Cartesian
0.000 0.000 0.000
2.663 0.000 0.000
0.000 2.663 0.000
0.000 0.000 2.663
2.663 2.663 2.663
```

Results
M_tot (μB/f.u.): 0.00
E above lowest polymorph (eV/atom): 0.000
Fermi-level density of states (states/eV per atom): 1.4968
Energy relative to the elements (eV per atom): 0.87
Mass density (Mg/m³): 8.0


The following is a PBE calculation of a geometry-optimized TlInBr structure, from the Alexandria database.

```
TlInBr
1.0
3.938 0.000 0.000
-1.969 3.434 0.000
0.000 0.000 14.453
Br In Tl
2 2 2
Cartesian
1.969 0.758 4.922
1.969 0.758 9.531
1.969 0.754 0.000
0.000 1.911 7.227
0.000 1.916 2.564
0.000 1.916 11.889
```

Results
Raw formation energy (kcal/mol of atoms): -7.56
M_tot (μB/f.u.): 0.00
E above lowest polymorph (eV/atom): 0.000
Fermi-level density of states (states/eV per atom): 0.2984
Mass density (Mg/m³): 6.8